Mn2VFeO6 | GGA+U | optimized geometry

Summary:
- Crystal system: triclinic
- Final energy: -7.432 eV/atom

Cell: 5.0540 5.1523 5.5233 Å, 117.34 91.22 117.40°
With the nearest neighbours (Å) after each atom.
Space group P1 (No. 1)
Asymmetric unit:
Mn1 0.0000 0.0000 0.0000 (multiplicity 1)  5 O 1.95-2.12
Mn2 0.4928 0.9803 0.4843 (multiplicity 1)  4 O 1.93-2.07
V1 0.6956 0.3981 0.0859 (multiplicity 1)  5 O 1.85-2.05
Fe1 0.2082 0.4247 0.6198 (multiplicity 1)  5 O 2.03-2.21
O1 0.0543 0.4742 0.2745 (multiplicity 1)  1 V 1.85
O2 0.3133 0.1852 0.7878 (multiplicity 1)  1 V 1.98, 2 Mn 2.02-2.12, 1 Fe 2.07
O3 0.3952 0.1918 0.2804 (multiplicity 1)  2 Mn 2.00-2.07, 1 V 2.05, 1 Fe 2.21
O4 0.6217 0.9138 0.7951 (multiplicity 1)  2 Mn 1.95-2.05, 1 V 2.09, 1 Fe 2.12
O5 0.7528 0.8438 0.2753 (multiplicity 1)  1 V 1.90, 1 Mn 1.93
O6 0.9013 0.5221 0.8141 (multiplicity 1)  1 Mn 1.97, 1 V 2.02, 1 Fe 2.03